Here is a relaxed PrDyAsP crystal from Alexandria via LeMat-Bulk. Energies are from PBE.

The structure in CIF format:
```
data_PrDyAsP
_space_group_name_H-M_alt 'P 4/m m m'
_space_group_IT_number 123
_space_group_name_Hall '-P 4 2'
_cell_length_a 4.173
_cell_length_b 4.173
_cell_length_c 5.876
_cell_angle_alpha 90.00
_cell_angle_beta 90.00
_cell_angle_gamma 90.00
loop_
_atom_site_label
_atom_site_type_symbol
_atom_site_fract_x
_atom_site_fract_y
_atom_site_fract_z
Pr1 Pr 0.000 0.000 0.000
Dy1 Dy 0.500 0.500 0.500
As1 As 0.500 0.500 0.000
P1 P 0.000 0.000 0.500
```

---

Here is a relaxed Dy2AsPPt6 crystal from Alexandria via LeMat-Bulk. Energies are from PBE.

The structure in CIF format:
```
data_Dy2AsPPt6
_space_group_name_H-M_alt 'P m m n'
_space_group_IT_number 59
_cell_length_a 5.560
_cell_length_b 8.294
_cell_length_c 8.402
_cell_angle_alpha 90.00
_cell_angle_beta 90.00
_cell_angle_gamma 90.00
loop_
_space_group_symop_operation_xyz
'x,y,z'
'-x,-y,-z'
'-x+1/2,-y+1/2,z'
'x+1/2,y+1/2,-z'
'x+1/2,-y,-z'
'-x+1/2,y,z'
'-x,y+1/2,-z'
'x,-y+1/2,z'
loop_
_atom_site_label
_atom_site_type_symbol
_atom_site_fract_x
_atom_site_fract_y
_atom_site_fract_z
Dy1 Dy 0.250 0.001 0.242
As1 As 0.250 0.750 0.787
P1 P 0.250 0.250 0.754
Pt1 Pt 0.002 0.250 0.975
Pt2 Pt 0.002 0.750 0.494
Pt3 Pt 0.250 0.503 0.629
```

---

| no. | formation enthalpy at 0 K (eV/atom) | size of the total moment (μB per atom) |
| --- | --- | --- |
| 1 | -1.50 | 0.000 |
| 2 | -0.88 | 0.000 |